# 1
Computed, not measured: a relaxed structure of Cs2AuBr at the GGA-PBE level of DFT.

Unit cell a=8.776 b=8.776 c=8.776 alpha=90.00 beta=90.00 gamma=90.00
Fractional positions:
Cs: 0.250 0.250 0.250
Cs: 0.250 0.250 0.750
Cs: 0.250 0.750 0.250
Cs: 0.250 0.750 0.750
Cs: 0.750 0.250 0.250
Cs: 0.750 0.250 0.750
Cs: 0.750 0.750 0.250
Cs: 0.750 0.750 0.750
Au: 0.000 0.000 0.000
Au: 0.000 0.500 0.500
Au: 0.500 0.000 0.500
Au: 0.500 0.500 0.000
Br: 0.000 0.000 0.500
Br: 0.000 0.500 0.000
Br: 0.500 0.000 0.000
Br: 0.500 0.500 0.500

Electronic total energy in eV per cell: -43.0
Polymorph energy (0 for the lowest one) in meV per atom: 27
Raw formation energy in eV per atom: -1.025
D(E_F) in states/eV/atom: 0.000
Magnetic moment in μB per atom: 0.0000


# 2
Computed, not measured: a relaxed structure of AcPrTmHg at the GGA-PBE level of DFT.

Unit cell a=7.970 b=7.970 c=7.970 alpha=90.00 beta=90.00 gamma=90.00
Fractional positions:
Ac: 0.000 0.000 0.000
Ac: 0.000 0.500 0.500
Ac: 0.500 0.000 0.500
Ac: 0.500 0.500 0.000
Pr: 0.250 0.250 0.250
Pr: 0.250 0.750 0.750
Pr: 0.750 0.250 0.750
Pr: 0.750 0.750 0.250
Tm: 0.250 0.250 0.750
Tm: 0.250 0.750 0.250
Tm: 0.750 0.250 0.250
Tm: 0.750 0.750 0.750
Hg: 0.000 0.000 0.500
Hg: 0.000 0.500 0.000
Hg: 0.500 0.000 0.000
Hg: 0.500 0.500 0.500

Electronic total energy in eV per cell: -53.9
D(E_F) in states/eV/atom: 1.735
Magnetic moment in μB per atom: 0.0002


# 3
Computed, not measured: a relaxed structure of B5C3 at the GGA-PBE level of DFT.

Unit cell a=2.711 b=5.417 c=7.753 alpha=90.00 beta=90.00 gamma=90.00
Fractional positions:
B: 0.000 0.000 0.000
B: 0.000 0.000 0.476
B: 0.000 0.500 0.500
B: 0.000 0.500 0.976
B: 0.500 0.000 0.837
B: 0.500 0.209 0.198
B: 0.500 0.291 0.698
B: 0.500 0.500 0.337
B: 0.500 0.709 0.698
B: 0.500 0.791 0.198
C: 0.000 0.240 0.597
C: 0.000 0.260 0.097
C: 0.000 0.740 0.097
C: 0.000 0.760 0.597
C: 0.500 0.000 0.347
C: 0.500 0.500 0.847

Electronic total energy in eV per cell: -114.6
Polymorph energy (0 for the lowest one) in meV per atom: 198
D(E_F) in states/eV/atom: 0.194
Magnetic moment in μB per atom: 0.0000


# 4
Computed, not measured: a relaxed structure of ScMn at the GGA-PBE level of DFT.

Unit cell a=4.785 b=4.785 c=7.042 alpha=90.00 beta=90.00 gamma=120.00
Fractional positions:
Sc: 0.000 0.000 0.250
Sc: 0.000 0.000 0.750
Sc: 0.333 0.667 0.250
Sc: 0.667 0.333 0.750
Mn: 0.333 0.667 0.603
Mn: 0.333 0.667 0.897
Mn: 0.667 0.333 0.103
Mn: 0.667 0.333 0.397

Electronic total energy in eV per cell: -58.7
D(E_F) in states/eV/atom: 1.327
Magnetic moment in μB per atom: 0.7312